A relaxed SrAs2IrPt crystal. Source: the Alexandria database, functional PBE.

## Properties
Energy of formation from the pure elements = -0.05 eV/atom
Total energy = -26.14 eV for the cell shown

abc: 4.742 4.742 5.342
angles: 90.00 90.00 90.00
Space group P4/mmm (No. 123)
Unique sites:
Sr 0.000 0.000 0.000 (multiplicity 1)
As 0.000 0.500 0.500 (multiplicity 2)
Ir 0.500 0.500 0.500 (multiplicity 1)
Pt 0.500 0.500 0.000 (multiplicity 1)